# 1
# PBE-GGA CrPOs2, relaxed
data_CrPOs2
_chemical_formula_sum 'Cr3 P3 Os6'
_cell_length_a 2.7735
_cell_length_b 2.7735
_cell_length_c 23.9114
_cell_angle_alpha 90.00
_cell_angle_beta 90.00
_cell_angle_gamma 120.00
_space_group_name_H-M_alt 'R -3 m'
_space_group_IT_number 166
_space_group_name_Hall '-R 3 2"'
loop_
_atom_site_label
_atom_site_type_symbol
_atom_site_fract_x
_atom_site_fract_y
_atom_site_fract_z
Cr1 Cr 0.0000 0.0000 0.0000
P1 P 0.0000 0.0000 0.5000
Os1 Os 0.0000 0.0000 0.2464
# Formation energy in eV/atom: 0.143
# N(E_F) in states/eV per cell: 10.13

# 2
# PBE-GGA CrP2Os, relaxed
data_CrP2Os
_chemical_formula_sum 'Cr4 P8 Os4'
_cell_length_a 5.995
_cell_length_b 5.995
_cell_length_c 5.995
_cell_angle_alpha 90.00
_cell_angle_beta 90.00
_cell_angle_gamma 90.00
_space_group_name_H-M_alt 'F -4 3 m'
_space_group_IT_number 216
_space_group_name_Hall 'F -4 2 3'
loop_
_atom_site_label
_atom_site_type_symbol
_atom_site_fract_x
_atom_site_fract_y
_atom_site_fract_z
Cr1 Cr 0.000 0.000 0.000
P1 P 0.000 0.000 0.500
P2 P 0.250 0.250 0.750
Os1 Os 0.250 0.250 0.250
# Formation energy in eV/atom: 0.523
# Offset from the most stable computed form in eV/atom: 0.788
# N(E_F) in states/eV per cell: 18.07